8
Lattice="3.5036 0.0000 0.0000 0.0000 3.5036 0.0000 0.0000 0.0000 7.7188" Properties=species:S:1:pos:R:3 comment="Be2CuAs PBE optimized geometry" delta_e_f_ev_per_atom=0.27 magmom_total_mub_per_atom=0.0000 sg="I-4m2 (119)" pbc="T T T"
Be 0.0000 0.0000 0.0000
Be 0.0000 1.7518 1.9297
Be 1.7518 0.0000 5.7891
Be 1.7518 1.7518 3.8594
Cu 0.0000 0.0000 3.8594
Cu 1.7518 1.7518 0.0000
As 0.0000 1.7518 5.7891
As 1.7518 0.0000 1.9297